# 1
# NaRu3S

A PBEsol-optimized structure of NaRu3S (SCAN, the Alexandria database).

The symmetry is Pm-3m, No. 221. The theoretical density comes out at 7398 kg/m3. As for the uncorrected formation energy: 0.506 eV/atom. The uncorrected energy comes out at -23.16 eV/atom.

Lattice parameters (Å, degrees): 4.3163 4.3163 4.3163 90.00 90.00 90.00
Site moments in Bohr magnetons follow the coordinates.
Fractional positions:
Ru 0.0000 0.5000 0.0000  0.14
Ru 0.0000 0.0000 0.5000  0.14
Ru 0.5000 0.0000 0.0000  0.14
S 0.0000 0.0000 0.0000  -0.01
Na 0.5000 0.5000 0.5000  0.00

# 2
# NaSb2Ru2

A PBEsol-optimized structure of NaSb2Ru2 (SCAN, the Alexandria database).

The symmetry is I4/mmm, No. 139. The theoretical density comes out at 7493 kg/m3. As for the uncorrected formation energy: 0.018 eV/atom. The uncorrected energy comes out at -29.66 eV/atom.

Lattice parameters (Å, degrees): 4.5609 4.5609 5.9438 112.56 112.56 90.00
Fractional positions:
Sb 0.2500 0.7500 0.5000
Sb 0.7500 0.2500 0.5000
Na 0.0000 0.0000 0.0000
Ru 0.3828 0.3828 0.7656
Ru 0.6172 0.6172 0.2344

# 3
# NaTl2RuSe

A PBEsol-optimized structure of NaTl2RuSe (SCAN, the Alexandria database).

The symmetry is P4/mmm, No. 123. The theoretical density comes out at 7192 kg/m3. As for the uncorrected formation energy: 0.413 eV/atom. The uncorrected energy comes out at -40.35 eV/atom.

Lattice parameters (Å, degrees): 5.1155 5.1155 5.3980 90.00 90.00 90.00
Site moments in Bohr magnetons follow the coordinates.
Fractional positions:
Ru 0.0000 0.0000 0.0000  1.09
Tl 0.0000 0.5000 0.0000  -0.02
Tl 0.5000 0.0000 0.0000  -0.02
Se 0.5000 0.5000 0.5000  0.13
Na 0.0000 0.0000 0.5000  0.03

# 4
# NaSr2Ru

A PBEsol-optimized structure of NaSr2Ru (SCAN, the Alexandria database).

For the formation enthalpy at 0 K, the calculation gives 0.47 eV/atom. The symmetry is Fm-3m, No. 225. The theoretical density comes out at 4623 kg/m3. The uncorrected energy comes out at -20.43 eV/atom.

Lattice parameters (Å, degrees): 5.3372 5.3372 5.3372 60.00 60.00 60.00
Fractional positions:
Ru 0.5000 0.5000 0.5000
Na 0.0000 0.0000 0.0000
Sr 0.2500 0.2500 0.2500
Sr 0.7500 0.7500 0.7500